## Cu2RePbI (SCAN)

Data for Cu2RePbI at its PBEsol-relaxed geometry.

Calculated values
- Raw formation energy: 1739 meV/atom
- Space group: P4/mmm

abc: 4.7847 4.7847 5.0181
angles: 90.00 90.00 90.00
Atoms (fractional coordinates):
Cu1 0.0000 0.5000 0.0000
Cu2 0.5000 0.0000 0.0000
Re1 0.0000 0.0000 0.5000
Pb1 0.5000 0.5000 0.5000
I1 0.0000 0.0000 0.0000